Entry 1:
# PBE with a Hubbard U VPIO2, relaxed
data_VPIO2
_chemical_formula_sum 'V1 P1 I1 O2'
_cell_length_a 3.7585
_cell_length_b 3.7585
_cell_length_c 7.6831
_cell_angle_alpha 90.00
_cell_angle_beta 90.00
_cell_angle_gamma 90.00
_space_group_name_H-M_alt 'P 4/m m m'
_space_group_IT_number 123
_space_group_name_Hall '-P 4 2'
loop_
_atom_site_label
_atom_site_type_symbol
_atom_site_fract_x
_atom_site_fract_y
_atom_site_fract_z
V1 V 0.0000 0.0000 0.0000
P1 P 0.5000 0.5000 0.5000
I1 I 0.0000 0.0000 0.5000
O1 O 0.0000 0.5000 0.0000
# DOS(E_F): 0.486 states/eV per atom
# relative energy among the computed polymorphs: 168 meV/atom

=====

Entry 2:
# PBE with a Hubbard U VPI2O, relaxed
data_VPI2O
_chemical_formula_sum 'V1 P1 I2 O1'
_cell_length_a 5.5999
_cell_length_b 5.5999
_cell_length_c 3.6615
_cell_angle_alpha 90.00
_cell_angle_beta 90.00
_cell_angle_gamma 90.00
_space_group_name_H-M_alt 'P 4/m m m'
_space_group_IT_number 123
_space_group_name_Hall '-P 4 2'
loop_
_atom_site_label
_atom_site_type_symbol
_atom_site_fract_x
_atom_site_fract_y
_atom_site_fract_z
V1 V 0.0000 0.0000 0.0000
P1 P 0.5000 0.5000 0.5000
I1 I 0.0000 0.5000 0.0000
O1 O 0.0000 0.0000 0.5000
# DOS(E_F): 0.844 states/eV per atom
# relative energy among the computed polymorphs: 0 meV/atom

=====

Entry 3:
# PBE with a Hubbard U VPI2O, relaxed
data_VPI2O
_chemical_formula_sum 'V1 P1 I2 O1'
_cell_length_a 5.6754
_cell_length_b 5.6754
_cell_length_c 3.5684
_cell_angle_alpha 90.00
_cell_angle_beta 90.00
_cell_angle_gamma 90.00
_space_group_name_H-M_alt 'P 4/m m m'
_space_group_IT_number 123
_space_group_name_Hall '-P 4 2'
loop_
_atom_site_label
_atom_site_type_symbol
_atom_site_fract_x
_atom_site_fract_y
_atom_site_fract_z
V1 V 0.0000 0.0000 0.0000
P1 P 0.5000 0.5000 0.5000
I1 I 0.0000 0.5000 0.5000
O1 O 0.5000 0.5000 0.0000
# DOS(E_F): 0.926 states/eV per atom
# relative energy among the computed polymorphs: 290 meV/atom

=====

Entry 4:
# PBE with a Hubbard U VPIO2, relaxed
data_VPIO2
_chemical_formula_sum 'V1 P1 I1 O2'
_cell_length_a 3.7971
_cell_length_b 3.7971
_cell_length_c 5.4922
_cell_angle_alpha 90.00
_cell_angle_beta 90.00
_cell_angle_gamma 90.00
_space_group_name_H-M_alt 'P 4/m m m'
_space_group_IT_number 123
_space_group_name_Hall '-P 4 2'
loop_
_atom_site_label
_atom_site_type_symbol
_atom_site_fract_x
_atom_site_fract_y
_atom_site_fract_z
V1 V 0.0000 0.0000 0.0000
P1 P 0.0000 0.0000 0.5000
I1 I 0.5000 0.5000 0.5000
O1 O 0.0000 0.5000 0.0000
# DOS(E_F): 0.402 states/eV per atom
# relative energy among the computed polymorphs: 0 meV/atom

=====

Entry 5:
# PBE with a Hubbard U VPIO2, relaxed
data_VPIO2
_chemical_formula_sum 'V1 P1 I1 O2'
_cell_length_a 3.8321
_cell_length_b 3.8321
_cell_length_c 5.4752
_cell_angle_alpha 90.00
_cell_angle_beta 90.00
_cell_angle_gamma 90.00
_space_group_name_H-M_alt 'P 4/m m m'
_space_group_IT_number 123
_space_group_name_Hall '-P 4 2'
loop_
_atom_site_label
_atom_site_type_symbol
_atom_site_fract_x
_atom_site_fract_y
_atom_site_fract_z
V1 V 0.0000 0.0000 0.0000
P1 P 0.5000 0.5000 0.5000
I1 I 0.5000 0.5000 0.0000
O1 O 0.0000 0.5000 0.5000
# DOS(E_F): 0.316 states/eV per atom
# relative energy among the computed polymorphs: 551 meV/atom

=====

Entry 6:
# PBE with a Hubbard U VPIO2, relaxed
data_VPIO2
_chemical_formula_sum 'V1 P1 I1 O2'
_cell_length_a 4.0023
_cell_length_b 4.0023
_cell_length_c 5.4370
_cell_angle_alpha 90.00
_cell_angle_beta 90.00
_cell_angle_gamma 90.00
_space_group_name_H-M_alt 'P 4/m m m'
_space_group_IT_number 123
_space_group_name_Hall '-P 4 2'
loop_
_atom_site_label
_atom_site_type_symbol
_atom_site_fract_x
_atom_site_fract_y
_atom_site_fract_z
V1 V 0.0000 0.0000 0.0000
P1 P 0.5000 0.5000 0.0000
I1 I 0.5000 0.5000 0.5000
O1 O 0.0000 0.5000 0.5000
# DOS(E_F): 0.015 states/eV per atom
# relative energy among the computed polymorphs: 875 meV/atom

=====

Entry 7:
# PBE with a Hubbard U P2WIO, relaxed
data_P2WIO
_chemical_formula_sum 'P2 W1 I1 O1'
_cell_length_a 4.9804
_cell_length_b 4.9804
_cell_length_c 3.8791
_cell_angle_alpha 90.00
_cell_angle_beta 90.00
_cell_angle_gamma 90.00
_space_group_name_H-M_alt 'P 4/m m m'
_space_group_IT_number 123
_space_group_name_Hall '-P 4 2'
loop_
_atom_site_label
_atom_site_type_symbol
_atom_site_fract_x
_atom_site_fract_y
_atom_site_fract_z
P1 P 0.0000 0.5000 0.0000
W1 W 0.0000 0.0000 0.0000
I1 I 0.5000 0.5000 0.5000
O1 O 0.0000 0.0000 0.5000
# DOS(E_F): 0.551 states/eV per atom
# relative energy among the computed polymorphs: 0 meV/atom

=====

Entry 8:
# PBE with a Hubbard U PWIO2, relaxed
data_PWIO2
_chemical_formula_sum 'P1 W1 I1 O2'
_cell_length_a 3.9765
_cell_length_b 3.9765
_cell_length_c 5.6733
_cell_angle_alpha 90.00
_cell_angle_beta 90.00
_cell_angle_gamma 90.00
_space_group_name_H-M_alt 'P 4/m m m'
_space_group_IT_number 123
_space_group_name_Hall '-P 4 2'
loop_
_atom_site_label
_atom_site_type_symbol
_atom_site_fract_x
_atom_site_fract_y
_atom_site_fract_z
P1 P 0.0000 0.0000 0.0000
W1 W 0.5000 0.5000 0.0000
I1 I 0.0000 0.0000 0.5000
O1 O 0.0000 0.5000 0.5000
# DOS(E_F): 0.054 states/eV per atom
# relative energy among the computed polymorphs: 1250 meV/atom